FeAg2OsN after structural relaxation. Source: Alexandria via LeMat-Bulk, functional PBE.

Calculated values
Crystal system ... tetragonal
V ... 82.4 Å³ per cell
Uncorrected formation energy ... 1.294 eV per atom

Cell: 4.984 3.318 4.984 Å, 90.00 90.00 90.00°
Site moments in Bohr magnetons follow the coordinates.
Element x y z (fractional)
N (0.000, 0.500, 0.000)  -0.04
Ag (0.500, 0.000, 0.000)  0.03
Os (0.500, 0.500, 0.500)  2.10
Ag (0.000, 0.000, 0.500)  0.07
Fe (0.000, 0.000, 0.000)  1.17

FeAgP2N after structural relaxation. Source: Alexandria via LeMat-Bulk, functional PBE.

Calculated values
Crystal system ... tetragonal
V ... 66.8 Å³ per cell
Uncorrected formation energy ... 1.208 eV per atom

Cell: 4.017 4.138 4.017 Å, 90.00 90.00 90.00°
Element x y z (fractional)
P (0.500, 0.000, 0.000)
P (0.000, 0.000, 0.500)
N (0.000, 0.000, 0.000)
Ag (0.000, 0.500, 0.000)
Fe (0.500, 0.500, 0.500)

Calculated energy, -5.450 -4.883 eV/atom (same order as the records).